[1]
The following is a PBE calculation of an optimized crystal structure of AcPmMg, from Alexandria.

a b c (Å): 3.6455 8.8483 6.5008
angles (deg): 90.00 90.00 90.00
Fractional positions:
Ac (0.0000, 0.8777, 0.2500)
Pm (0.0000, 0.5000, 0.0000)
Ac (0.0000, 0.1223, 0.7500)
Mg (0.5000, 0.2254, 0.2500)
Pm (0.0000, 0.5000, 0.5000)
Mg (0.5000, 0.7746, 0.7500)

Properties
The polymorph energy (0 for the lowest one) is 0.1288 eV/atom. For the volume, the calculation gives 34.95 A^3/atom. As for the formation enthalpy at 0 K: 0.093 eV per atom.

=====

[2]
The following is a PBE calculation of an optimized crystal structure of Ac4Pm5Mg, from Alexandria.

a b c (Å): 5.8245 12.7023 8.9983
angles (deg): 137.62 108.88 90.00
Fractional positions:
Ac (0.1240, 0.8654, 0.2480)
Ac (0.3844, 0.6389, 0.7688)
Pm (0.8378, 0.3889, 0.6756)
Mg (0.5000, 0.0000, 0.0000)
Pm (0.5000, 0.5000, 0.0000)
Ac (0.8760, 0.1346, 0.7520)
Pm (0.1622, 0.6111, 0.3244)
Ac (0.6156, 0.3611, 0.2312)
Pm (0.8491, 0.8073, 0.6982)
Pm (0.1509, 0.1927, 0.3018)

Properties
For the volume, the calculation gives 39.36 A^3/atom. As for the formation enthalpy at 0 K: 0.183 eV per atom.

=====

[3]
The following is a PBE calculation of an optimized crystal structure of Ac2Pm2Mg3, from Alexandria.

a b c (Å): 4.0510 3.9388 14.8868
angles (deg): 90.00 82.18 90.00
Fractional positions:
Mg (0.0000, 0.0000, 0.0000)
Pm (0.2966, 0.5000, 0.4068)
Pm (0.7034, 0.5000, 0.5932)
Mg (0.1450, 0.0000, 0.7100)
Ac (0.4270, 0.5000, 0.1461)
Mg (0.8550, 0.0000, 0.2900)
Ac (0.5730, 0.5000, 0.8539)

Properties
For the volume, the calculation gives 33.62 A^3/atom. As for the formation enthalpy at 0 K: 0.019 eV per atom.

=====

[4]
The following is a PBE calculation of an optimized crystal structure of Ac4Pm3Mg, from Alexandria.

a b c (Å): 4.3563 4.3563 16.2005
angles (deg): 90.00 90.00 90.00
Fractional positions:
Pm (0.5000, 0.5000, 0.5000)
Ac (0.0000, 0.0000, 0.3803)
Ac (0.0000, 0.0000, 0.6197)
Mg (0.5000, 0.5000, 0.0000)
Ac (0.0000, 0.0000, 0.1186)
Pm (0.5000, 0.5000, 0.7457)
Ac (0.0000, 0.0000, 0.8814)
Pm (0.5000, 0.5000, 0.2543)

Properties
For the volume, the calculation gives 38.43 A^3/atom. As for the formation enthalpy at 0 K: 0.067 eV per atom.

=====

[5]
The following is a PBE calculation of an optimized crystal structure of Ac2PmMg, from Alexandria.

a b c (Å): 5.9510 5.9510 5.9513
angles (deg): 60.00 60.00 60.00
Fractional positions:
Pm (0.5000, 0.5000, 0.4999)
Mg (0.7499, 0.7499, 0.7504)
Ac (0.0000, 0.0000, 0.9999)
Ac (0.2501, 0.2501, 0.2498)

Properties
The polymorph energy (0 for the lowest one) is 0.1234 eV/atom. For the volume, the calculation gives 37.26 A^3/atom. As for the formation enthalpy at 0 K: 0.105 eV per atom.

=====

[6]
The following is a PBE calculation of an optimized crystal structure of Ac2PmMg, from Alexandria.

a b c (Å): 4.6070 5.6667 5.6667
angles (deg): 90.00 90.00 90.00
Fractional positions:
Mg (0.5000, 0.0000, 0.0000)
Ac (0.0000, 0.5000, 0.0000)
Ac (0.0000, 0.0000, 0.5000)
Pm (0.5000, 0.5000, 0.5000)

Properties
The polymorph energy (0 for the lowest one) is 0.0451 eV/atom. For the volume, the calculation gives 36.98 A^3/atom. As for the formation enthalpy at 0 K: 0.027 eV per atom.

=====

Ordered uncorrected energy results: -3.39, -3.99, -3.20, -3.97, -3.54, -3.61; unit eV/atom.
Ordered DOS(E_F) results: 1.4189, 1.4817, 1.0895, 1.5241, 1.3227, 1.2316; unit states/eV/atom.
Ordered total magnetization results: 0.00, 0.00, 0.00, 0.00, 0.00, 0.00; unit μB per atom.